Arrangement A

Below is crystalline Ta5Ni at its relaxed geometry, with properties calculated at the PBE level.

abc: 11.890 11.890 11.890
angles: 90.00 90.00 90.00
Space group Fd-3m (No. 227, origin choice 2)
Unique sites:
Ta (0.039, 0.039, 0.211) x32
Ta (0.063, 0.375, 0.875) x48
Ni (0.000, 0.000, 0.000) x16

Computed properties:
Theoretical density in g/cm³: 15.23
Spin magnetization in μB per cell: 0.5
V in A^3/atom: 17.51

Arrangement B

Below is crystalline Ta5Ni at its relaxed geometry, with properties calculated at the PBE level.

abc: 5.3675 5.3675 16.7909
angles: 90.00 90.00 120.00
Space group P6_3/mmc (No. 194)
Unique sites:
Ta (0.0000, 0.0000, 0.0942) x4
Ta (0.0000, 0.5000, 0.0000) x6
Ta (0.1639, 0.3278, 0.2500) x6
Ta (0.3333, 0.6667, 0.6534) x4
Ni (0.3333, 0.6667, 0.1263) x4

Computed properties:
Theoretical density in g/cm³: 15.28
Spin magnetization in μB per cell: 0.0
V in A^3/atom: 17.46

Arrangement C

Below is crystalline Ta5Ni at its relaxed geometry, with properties calculated at the PBE level.

abc: 5.3697 5.3697 8.3870
angles: 90.00 90.00 120.00
Space group P6_3/mmc (No. 194)
Unique sites:
Ta (0.1695, 0.3390, 0.2500) x6
Ta (0.3333, 0.6667, 0.5593) x4
Ni (0.0000, 0.0000, 0.0000) x2

Computed properties:
Theoretical density in g/cm³: 15.28
Spin magnetization in μB per cell: 0.0
V in A^3/atom: 17.45

Which of them is least stable? Easy: arrangement A.

Arrangement A

Below is crystalline Ta5Ni at its relaxed geometry, with properties calculated at the PBE level.

abc: 5.4000 5.4000 17.4745
angles: 90.00 90.00 120.00
Space group P6_3/mmc (No. 194)
Unique sites:
Ta (0.0000, 0.5000, 0.0000) x6
Ta (0.1637, 0.3274, 0.2500) x6
Ta (0.3333, 0.6667, 0.1242) x4
Ta (0.3333, 0.6667, 0.6593) x4
Ni (0.0000, 0.0000, 0.1088) x4

Computed properties:
Theoretical density in g/cm³: 14.50
Spin magnetization in μB per cell: 0.1
V in A^3/atom: 18.39

Arrangement B

Below is crystalline Ta5Ni at its relaxed geometry, with properties calculated at the PBE level.

abc: 5.394 8.930 8.657
angles: 90.00 90.00 90.00
Space group Cmcm (No. 63)
Unique sites:
Ta (0.000, 0.000, 0.000) x4
Ta (0.000, 0.337, 0.064) x8
Ta (0.243, 0.404, 0.750) x8
Ni (0.000, 0.161, 0.750) x4

Computed properties:
Theoretical density in g/cm³: 15.35
Spin magnetization in μB per cell: 0.0
V in A^3/atom: 17.37

Which of them is least stable? Easy: arrangement A.

Arrangement A

Below is crystalline Ta8Ni7 at its relaxed geometry, with properties calculated at the PBE level.

abc: 9.409 9.409 5.182
angles: 90.00 90.00 90.00
Space group P4_2/mnm (No. 136)
Unique sites:
Ta (0.062, 0.275, 0.000) x8
Ta (0.180, 0.820, 0.252) x8
Ni (0.000, 0.000, 0.000) x2
Ni (0.037, 0.364, 0.500) x8
Ni (0.103, 0.103, 0.500) x4

Computed properties:
Theoretical density in g/cm³: 13.46
Spin magnetization in μB per cell: 0.0
V in A^3/atom: 15.29

Arrangement B

Below is crystalline Ta8Ni7 at its relaxed geometry, with properties calculated at the PBE level.

abc: 9.365 9.365 5.068
angles: 90.00 90.00 90.00
Space group P4_2/mnm (No. 136)
Unique sites:
Ta (0.040, 0.361, 0.000) x8
Ta (0.176, 0.824, 0.249) x8
Ni (0.000, 0.000, 0.500) x2
Ni (0.072, 0.256, 0.500) x8
Ni (0.096, 0.096, 0.000) x4

Computed properties:
Theoretical density in g/cm³: 13.89
Spin magnetization in μB per cell: 0.0
V in A^3/atom: 14.82

Which of them is least stable? Easy: arrangement A.

Arrangement A

Below is crystalline Ta11Ni2 at its relaxed geometry, with properties calculated at the PBE level.

abc: 5.3473 5.3473 28.5489
angles: 90.00 90.00 120.00
Space group R-3m (No. 166, hexagonal axes)
Unique sites:
Ta (0.0000, 0.0000, 0.0000) x3
Ta (0.0000, 0.0000, 0.1679) x6
Ta (0.0000, 0.0000, 0.4542) x6
Ta (0.0039, 0.5020, 0.4091) x18
Ni (0.0000, 0.0000, 0.3490) x6

Computed properties:
Theoretical density in g/cm³: 14.85
Spin magnetization in μB per cell: 0.2
V in A^3/atom: 18.13

Arrangement B

Below is crystalline Ta11Ni2 at its relaxed geometry, with properties calculated at the PBE level.

abc: 5.5092 5.5092 26.9658
angles: 90.00 90.00 120.00
Space group R-3m (No. 166, hexagonal axes)
Unique sites:
Ta (0.0000, 0.0000, 0.0000) x3
Ta (0.0000, 0.0000, 0.3506) x6
Ta (0.0000, 0.0000, 0.4506) x6
Ta (0.0040, 0.5020, 0.4158) x18
Ni (0.0000, 0.0000, 0.1681) x6

Computed properties:
Theoretical density in g/cm³: 14.81
Spin magnetization in μB per cell: 0.0
V in A^3/atom: 18.17

Which of them is least stable? Easy: arrangement A.

Arrangement A

Below is crystalline Ta6Ni7 at its relaxed geometry, with properties calculated at the PBE level.

abc: 4.8503 4.8503 26.4148
angles: 90.00 90.00 120.00
Space group R-3m (No. 166, hexagonal axes)
Unique sites:
Ta (0.0000, 0.0000, 0.0495) x6
Ta (0.0000, 0.0000, 0.1561) x6
Ta (0.0000, 0.0000, 0.3314) x6
Ni (0.0000, 0.0000, 0.5000) x3
Ni (0.0002, 0.5001, 0.0909) x18

Computed properties:
Theoretical density in g/cm³: 13.85
Spin magnetization in μB per cell: 0.1
V in A^3/atom: 13.80

Arrangement B

Below is crystalline Ta6Ni7 at its relaxed geometry, with properties calculated at the PBE level.

abc: 5.2616 5.2616 24.8566
angles: 90.00 90.00 120.00
Space group R-3m (No. 166, hexagonal axes)
Unique sites:
Ta (0.0036, 0.5018, 0.4120) x18
Ni (0.0000, 0.0000, 0.0000) x3
Ni (0.0000, 0.0000, 0.1671) x6
Ni (0.0000, 0.0000, 0.3546) x6
Ni (0.0000, 0.0000, 0.4548) x6

Computed properties:
Theoretical density in g/cm³: 12.51
Spin magnetization in μB per cell: 0.0
V in A^3/atom: 15.28

Which of them is least stable? Easy: arrangement B.

Arrangement A

Below is crystalline Ta10Ni3 at its relaxed geometry, with properties calculated at the PBE level.

abc: 5.3482 5.3482 27.2241
angles: 90.00 90.00 120.00
Space group R-3m (No. 166, hexagonal axes)
Unique sites:
Ta (0.0000, 0.0000, 0.1500) x6
Ta (0.0000, 0.0000, 0.3336) x6
Ta (0.0025, 0.5013, 0.9109) x18
Ni (0.0000, 0.0000, 0.0483) x6
Ni (0.0000, 0.0000, 0.5000) x3

Computed properties:
Theoretical density in g/cm³: 14.67
Spin magnetization in μB per cell: 1.0
V in A^3/atom: 17.29

Arrangement B

Below is crystalline Ta10Ni3 at its relaxed geometry, with properties calculated at the PBE level.

abc: 5.3189 5.3189 27.5028
angles: 90.00 90.00 120.00
Space group R-3m (No. 166, hexagonal axes)
Unique sites:
Ta (0.0000, 0.0000, 0.0463) x6
Ta (0.0000, 0.0000, 0.3326) x6
Ta (0.0034, 0.5017, 0.9042) x18
Ni (0.0000, 0.0000, 0.1464) x6
Ni (0.0000, 0.0000, 0.5000) x3

Computed properties:
Theoretical density in g/cm³: 14.68
Spin magnetization in μB per cell: 0.0
V in A^3/atom: 17.28

Which of them is least stable? Easy: arrangement A.

Arrangement A

Below is crystalline Ta2Ni3 at its relaxed geometry, with properties calculated at the PBE level.

abc: 9.233 9.233 4.860
angles: 90.00 90.00 90.00
Space group P4_2/mnm (No. 136)
Unique sites:
Ta (0.059, 0.274, 0.000) x8
Ta (0.105, 0.105, 0.500) x4
Ni (0.000, 0.000, 0.000) x2
Ni (0.032, 0.368, 0.500) x8
Ni (0.175, 0.825, 0.254) x8

Computed properties:
Theoretical density in g/cm³: 12.94
Spin magnetization in μB per cell: 1.4
V in A^3/atom: 13.81

Arrangement B

Below is crystalline Ta2Ni3 at its relaxed geometry, with properties calculated at the PBE level.

abc: 9.225 9.225 4.817
angles: 90.00 90.00 90.00
Space group P4_2/mnm (No. 136)
Unique sites:
Ta (0.040, 0.370, 0.000) x8
Ta (0.098, 0.098, 0.000) x4
Ni (0.000, 0.000, 0.500) x2
Ni (0.068, 0.257, 0.500) x8
Ni (0.177, 0.823, 0.250) x8

Computed properties:
Theoretical density in g/cm³: 13.07
Spin magnetization in μB per cell: 0.1
V in A^3/atom: 13.66

Which of them is least stable? Easy: arrangement B.